## NaCrF4 (GGA+U)

Data for a geometry-optimized NaCrF4 structure.

Output
Mass density ... 3.146 g cm⁻³
Total magnetic moment ... 3.0 μB per formula unit
Total energy ... -132.3 eV/cell
Crystal system ... monoclinic
DOS(E_F) ... 0.00 states/eV/cell

Cell: 5.4001 7.5297 7.9965 Å, 78.64 90.00 90.00°
Site moments in Bohr magnetons follow the coordinates.
Atoms (fractional coordinates):
F: 0.4790 0.1250 0.3096  0.00
Cr: 0.7437 0.7018 0.1692  2.94
F: 0.0590 0.2950 0.0393  0.00
F: 0.6396 0.4509 0.1692  -0.01
F: 0.0454 0.8124 0.6300  0.00
Na: 0.2200 0.8881 0.3649  0.00
Na: 0.2800 0.3881 0.3649  0.00
F: 0.4410 0.7950 0.0393  0.00
F: 0.5210 0.8750 0.6904  0.00
F: 0.8604 0.9509 0.1692  -0.01
F: 0.9546 0.1876 0.3700  0.00
F: 0.5590 0.2050 0.9607  0.00
Cr: 0.7563 0.2018 0.1692  2.94
F: 0.9790 0.3750 0.6904  0.00
Na: 0.7800 0.1119 0.6351  0.00
F: 0.4546 0.3124 0.6300  0.00
Na: 0.7200 0.6119 0.6351  0.00
F: 0.0210 0.6250 0.3096  0.00
F: 0.1396 0.0491 0.8308  -0.01
Cr: 0.2437 0.7982 0.8308  2.94
Cr: 0.2563 0.2982 0.8308  2.94
F: 0.9410 0.7050 0.9607  0.00
F: 0.3604 0.5491 0.8308  -0.01
F: 0.5454 0.6876 0.3700  0.00